# 1
9
Lattice="7.309 0.111 0.000 -5.839 4.398 0.000 -0.735 -2.254 6.915" Properties=species:S:1:pos:R:3 comment="Cd4In5, relaxed, DFT GGA-PBE" final_energy_ev_per_cell=-17.1 pbc="T T T"
Cd 4.335 -1.413 4.560
Cd 2.239 -0.730 2.355
Cd -2.239 0.730 2.355
Cd -4.335 1.413 4.560
In 0.000 0.000 0.000
In 2.950 1.532 0.000
In -1.480 2.977 0.000
In 0.000 0.000 4.585
In 0.735 2.254 2.330

# 2
8
Lattice="-2.539 0.086 5.832 5.792 -0.721 2.530 0.529 4.810 0.159" Properties=species:S:1:pos:R:3 comment="Cd5In3, relaxed, DFT GGA-PBE" relative_energy_kcal_per_mol_atoms=0.269 final_energy_ev_per_cell=-12.5 pbc="T T T"
Cd 0.000 0.000 0.000
Cd 2.896 -0.361 1.265
Cd -1.269 0.043 2.916
Cd 1.074 2.247 2.160
Cd 2.709 1.928 6.362
In 1.627 -0.318 4.181
In -0.207 2.291 5.093
In 3.990 1.884 3.429

# 3
9
Lattice="5.668 0.000 0.000 -2.834 4.908 0.000 0.000 0.000 7.631" Properties=species:S:1:pos:R:3 comment="Cd7In2, relaxed, DFT GGA-PBE" relative_energy_kcal_per_mol_atoms=0.000 final_energy_ev_per_cell=-11.7 pbc="T T T"
Cd 0.000 0.000 0.000
Cd 3.795 0.000 2.575
Cd -1.897 3.286 2.575
Cd 0.936 1.622 2.575
Cd -0.936 1.622 5.056
Cd 1.873 0.000 5.056
Cd 1.897 3.286 5.056
In 0.000 3.272 0.000
In 2.834 1.636 0.000

# 4
5
Lattice="3.330 0.000 0.000 1.665 2.884 0.000 1.665 0.961 13.254" Properties=species:S:1:pos:R:3 comment="Cd2In3, relaxed, DFT GGA-PBE" relative_energy_kcal_per_mol_atoms=0.270 final_energy_ev_per_cell=-9.9 pbc="T T T"
Cd 1.665 0.961 1.218
Cd 4.995 2.884 12.036
In 1.665 0.961 9.414
In 3.330 1.922 6.627
In 4.995 2.884 3.841

# 5
10
Lattice="-3.509 0.847 -5.960 -1.160 -5.923 -0.159 -5.085 0.912 3.124" Properties=species:S:1:pos:R:3 comment="Cd4In, relaxed, DFT GGA-PBE" relative_energy_kcal_per_mol_atoms=1.102 final_energy_ev_per_cell=-12.0 pbc="T T T"
Cd -6.051 -2.992 0.640
Cd -3.680 -4.326 -0.945
Cd -4.286 -0.159 -3.148
Cd -6.826 -3.677 -2.152
Cd -4.112 -3.256 -3.691
Cd -7.000 -0.581 -1.609
Cd -2.346 -1.500 -1.329
Cd -4.717 -0.166 0.257
In -3.123 -2.506 1.483
In 0.000 0.000 0.000

# 6
4
Lattice="-4.787 -2.882 -1.391 -2.403 -4.155 -3.181 0.576 -3.936 3.565" Properties=species:S:1:pos:R:3 comment="Cd3In, relaxed, DFT GGA-PBE" final_energy_ev_per_cell=-5.4 pbc="T T T"
Cd -3.307 -5.487 -0.504
Cd -1.630 -2.738 -0.224
Cd -4.984 -8.235 -0.784
In 0.000 0.000 0.000